LiMn6O4F8 after structural relaxation. Source: Alexandria, functional PBE with a Hubbard U.

The structure in POSCAR format:
```
LiMn6O4F8
1.0
5.3932 0.0515 0.0588
1.1203 6.2771 -0.0351
0.8937 1.1195 7.6065
F Li Mn O
8 1 6 4
Direct
0.1755 0.0257 0.7721
0.6441 0.8014 0.9212
0.3979 0.8359 0.4471
0.2156 0.3267 0.4567
0.8622 0.6166 0.5464
0.8269 0.3272 0.9023
0.3350 0.2271 0.1016
0.1610 0.7005 0.1009
0.2289 0.5949 0.5509
0.8968 0.2635 0.6420
0.5319 0.8335 0.6811
0.4879 0.5113 0.9980
0.0747 0.0563 0.0384
0.7918 0.6934 0.2658
0.5415 0.1796 0.3450
0.8092 0.0058 0.2367
0.6224 0.4617 0.2196
0.4027 0.5749 0.7625
0.6605 0.0891 0.5782
```

Calculated values
- offset from the most stable computed form (meV/atom) = 48